# 1
Compound: Er8Cd2Rh
Source: Alexandria via LeMat-Bulk
Functional: GGA-PBE
Structure: relaxed

Values from the calculation:
The crystal system is monoclinic. Its formation energy is -261.7 meV/atom.

Unit cell a=17.3223 b=5.3103 c=6.8911 alpha=90.00 beta=110.41 gamma=90.00
Closest atoms and distances in Å follow each position.
Space group C2/m (No. 12)
Symmetry-distinct sites (fractional):
Er (0.0202, 0.0000, 0.2821) (multiplicity 4)  1 Cd 3.05, 2 Rh 3.13, 3 Er 3.30-3.31
Er (0.0926, 0.5000, 0.9217) (multiplicity 4)  1 Rh 2.79
Er (0.1512, 0.5000, 0.4476) (multiplicity 4)  1 Rh 2.77, 1 Cd 3.04
Er (0.1962, 0.0000, 0.7823) (multiplicity 4)  1 Cd 2.99
Cd (0.1827, 0.0000, 0.2034) (multiplicity 4)  7 Er 2.99-3.34
Rh (0.0000, 0.5000, 0.5000) (multiplicity 2)  4 Er 2.77-2.79



# 2
Compound: SrTlHg2Pd
Source: Alexandria via LeMat-Bulk
Functional: GGA-PBE
Structure: relaxed

Values from the calculation:
The crystal system is tetragonal. Its formation energy is -227.5 meV/atom.

Unit cell a=5.3172 b=5.3172 c=5.2615 alpha=90.00 beta=90.00 gamma=90.00
Closest atoms and distances in Å follow each position.
Space group P4/mmm (No. 123)
Symmetry-distinct sites (fractional):
Sr (0.0000, 0.0000, 0.0000) (multiplicity 1)  8 Hg 3.74, 4 Tl 3.76
Tl (0.5000, 0.5000, 0.0000) (multiplicity 1)  2 Pd 2.63
Hg (0.0000, 0.5000, 0.5000) (multiplicity 2)  2 Pd 2.66
Pd (0.5000, 0.5000, 0.5000) (multiplicity 1)  2 Tl 2.63, 4 Hg 2.66



# 3
Compound: Cs2H2Cl
Source: Alexandria via LeMat-Bulk
Functional: GGA-PBE
Structure: relaxed

Values from the calculation:
The crystal system is triclinic.

Unit cell a=5.0822 b=5.0866 c=8.9352 alpha=83.04 beta=82.78 gamma=62.10
Closest atoms and distances in Å follow each position.
Space group P-1 (No. 2)
Symmetry-distinct sites (fractional):
Cs (0.2016, 0.1992, 0.2735) (multiplicity 2)  2 H 3.22, 3 Cl 3.53-3.61
H (0.0739, 0.9251, 0.0001) (multiplicity 2)  1 H 0.78
Cl (0.5000, 0.5000, 0.5000) (multiplicity 1)  6 Cs 3.53-3.61



Computed energy, in the same sequence as the records: -4.415; -2.196; -2.765 eV per atom.